Entry 1:
Density functional theory data (PBE-GGA) for a relaxed ZrAgPtSe3 crystal.

M_tot (μB/cell): 0.00
Uncorrected energy (eV/atom): -5.275

Unit cell a=7.076 b=7.076 c=10.010 alpha=90.00 beta=90.00 gamma=149.16
Fractional coordinates of all 12 atoms:
Zr: 0.000 0.000 0.000
Zr: 0.000 0.000 0.500
Ag: 0.194 0.806 0.750
Ag: 0.806 0.194 0.250
Pt: 0.472 0.528 0.250
Pt: 0.528 0.472 0.750
Se: 0.098 0.902 0.250
Se: 0.357 0.643 0.047
Se: 0.357 0.643 0.453
Se: 0.643 0.357 0.547
Se: 0.643 0.357 0.953
Se: 0.902 0.098 0.750

***

Entry 2:
Density functional theory data (PBE-GGA) for a relaxed AsOsPtO crystal.

Energy above the lowest structure with this stoichiometry (kJ/mol of formula units): 196
M_tot (μB/cell): 0.00
Uncorrected energy (eV/atom): -6.414

Unit cell a=4.176 b=4.176 c=6.428 alpha=90.00 beta=90.00 gamma=90.00
Fractional coordinates of all 8 atoms:
As: 0.250 0.250 0.198
As: 0.750 0.750 0.802
Os: 0.250 0.750 0.000
Os: 0.750 0.250 0.000
Pt: 0.250 0.250 0.601
Pt: 0.750 0.750 0.399
O: 0.250 0.750 0.500
O: 0.750 0.250 0.500

***

> Look up the uncorrected energy of the first one.

-5.275 eV/atom

***

> Among the records above, which one has the highest uncorrected energy?

ZrAgPtSe3

***

> Among the records above, which one has the highest uncorrected energy?

ZrAgPtSe3

***

> Which of these has the highest uncorrected energy?

ZrAgPtSe3